(1)
Tl3Pt: optimized geometry, GGA-PBE.

Properties
- SG: Cmmm (65)
- Magnetization: 0.0 μB/f.u.
- D(E_F): 0.450 states/eV per atom
- Energy of formation: 0.23 eV per atom
- Volume: 25.03 A^3/atom
- ΔE to the lowest computed polymorph: 248.4 meV per atom

abc: 5.750 5.750 3.290
angles: 90.00 90.00 113.01
Fractional positions:
Tl 0.000 0.000 0.000
Tl 0.000 0.500 0.500
Tl 0.500 0.000 0.500
Pt 0.500 0.500 0.000

---

(2)
Tl3Pt: optimized geometry, GGA-PBE.

Properties
- SG: P2/m (10)
- Magnetization: 0.0 μB/f.u.
- D(E_F): 0.397 states/eV per atom
- Energy of formation: 0.01 eV per atom
- Volume: 25.82 A^3/atom
- ΔE to the lowest computed polymorph: 32.5 meV per atom

abc: 3.485 3.409 8.691
angles: 90.00 90.23 90.00
Fractional positions:
Tl 0.000 0.000 0.000
Tl 0.499 0.500 0.303
Tl 0.501 0.500 0.697
Pt 0.000 0.000 0.500